# Na2Hg8Au | Alexandria | PBE | optimized geometry
# total magnetization = 0.0 μB/f.u.
# polymorph energy (0 for the lowest one) = 11 meV per atom
# energy relative to the elements = -0.116 eV/atom
data_Na2Hg8Au
_symmetry_space_group_name_H-M 'C 1 2/m 1'
_symmetry_Int_Tables_number 12
_cell_length_a 18.916
_cell_length_b 4.703
_cell_length_c 6.694
_cell_angle_alpha 90.00
_cell_angle_beta 104.54
_cell_angle_gamma 90.00
loop_
_symmetry_equiv_pos_as_xyz
'x,y,z'
'-x,-y,-z'
'-x,y,-z'
'x,-y,z'
'x+1/2,y+1/2,z'
'-x+1/2,-y+1/2,-z'
'-x+1/2,y+1/2,-z'
'x+1/2,-y+1/2,z'
loop_
_atom_site_label
_atom_site_type_symbol
_atom_site_fract_x
_atom_site_fract_y
_atom_site_fract_z
Na1 Na 0.203 0.000 0.148
Hg1 Hg 0.001 0.000 0.775
Hg2 Hg 0.123 0.500 0.862
Hg3 Hg 0.126 0.500 0.326
Hg4 Hg 0.188 0.000 0.636
Au1 Au 0.000 0.500 0.500